AcTbHg3: optimized geometry, PBE.

Cell and atoms, written as POSCAR:
```
AcTbHg3
1.0
1.910 -14.831 0.000
1.910 14.831 0.000
0.000 0.000 5.024
Ac Tb Hg
2 2 6
Direct
0.077 0.923 0.750
0.923 0.077 0.250
0.209 0.791 0.250
0.791 0.209 0.750
0.314 0.686 0.250
0.374 0.626 0.750
0.475 0.525 0.750
0.525 0.475 0.250
0.626 0.374 0.250
0.686 0.314 0.750
```

DFT formation energy = -451 meV/atom
Total DFT energy (no corrections) = -2.380 eV/atom
Symmetry = Cmcm, No. 63
Total moment = 0.00 μB/cell

=====

K2ZrCdP: optimized geometry, PBE.

Cell and atoms, written as POSCAR:
```
K2ZrCdP
1.0
6.698 0.000 0.000
0.000 6.698 0.000
0.000 0.000 4.669
K Zr Cd P
2 1 1 1
Direct
0.000 0.500 0.000
0.500 0.000 0.000
0.000 0.000 0.500
0.500 0.500 0.000
0.500 0.500 0.500
```

DFT formation energy = 935 meV/atom
Total DFT energy (no corrections) = -2.479 eV/atom
Symmetry = P4/mmm, No. 123
Total moment = 3.35 μB/cell

=====

LaEuCd: optimized geometry, PBE.

Cell and atoms, written as POSCAR:
```
LaEuCd
1.0
5.505 0.000 0.000
-2.752 4.767 0.000
0.000 0.000 3.658
La Eu Cd
1 1 1
Direct
0.000 0.000 0.000
0.333 0.667 0.398
0.667 0.333 0.672
```

DFT formation energy = -99 meV/atom
Total DFT energy (no corrections) = -5.471 eV/atom
Symmetry = P3m1, No. 156
Total moment = 7.37 μB/cell

=====

TbHgS: optimized geometry, PBE.

Cell and atoms, written as POSCAR:
```
TbHgS
1.0
2.351 1.357 7.943
-2.351 1.357 7.943
0.000 -2.714 7.943
Tb Hg S
2 2 2
Direct
0.098 0.098 0.098
0.902 0.902 0.902
0.354 0.354 0.354
0.646 0.646 0.646
0.214 0.214 0.214
0.786 0.786 0.786
```

Total DFT energy (no corrections) = -4.185 eV/atom
Symmetry = R-3m, No. 166
Formation energy without anion corrections = -1.165 eV per atom
Total moment = 0.00 μB/cell

=====

PmNd4Os2: optimized geometry, PBE.

Cell and atoms, written as POSCAR:
```
PmNd4Os2
1.0
8.024 0.000 0.000
0.000 6.600 0.000
-3.084 0.000 7.454
Pm Nd Os
2 8 4
Direct
0.158 0.250 0.030
0.842 0.750 0.970
0.021 0.250 0.376
0.242 0.750 0.322
0.417 0.003 0.760
0.417 0.497 0.760
0.583 0.503 0.240
0.583 0.997 0.240
0.758 0.250 0.678
0.979 0.750 0.624
0.254 0.750 0.981
0.375 0.250 0.408
0.625 0.750 0.592
0.746 0.250 0.019
```

DFT formation energy = -3 meV/atom
Total DFT energy (no corrections) = -6.614 eV/atom
Symmetry = P2_1/m, No. 11
Total moment = 0.00 μB/cell

=====

BaCoCuSb2: optimized geometry, PBE.

Cell and atoms, written as POSCAR:
```
BaCoCuSb2
1.0
5.226 0.000 0.000
0.000 5.226 0.000
0.000 0.000 4.839
Ba Co Cu Sb
1 1 1 2
Direct
0.000 0.000 0.000
0.500 0.500 0.000
0.500 0.500 0.500
0.000 0.500 0.500
0.500 0.000 0.500
```

Total DFT energy (no corrections) = -4.115 eV/atom
Symmetry = P4/mmm, No. 123
Formation energy without anion corrections = 0.159 eV per atom
Total moment = 2.06 μB/cell

=====

What did the first record say?
AcTbHg3: optimized geometry, PBE.

Cell and atoms, written as POSCAR:
```
AcTbHg3
1.0
1.910 -14.831 0.000
1.910 14.831 0.000
0.000 0.000 5.024
Ac Tb Hg
2 2 6
Direct
0.077 0.923 0.750
0.923 0.077 0.250
0.209 0.791 0.250
0.791 0.209 0.750
0.314 0.686 0.250
0.374 0.626 0.750
0.475 0.525 0.750
0.525 0.475 0.250
0.626 0.374 0.250
0.686 0.314 0.750
```

DFT formation energy = -451 meV/atom
Total DFT energy (no corrections) = -2.380 eV/atom
Symmetry = Cmcm, No. 63
Total moment = 0.00 μB/cell